1 | The following is a PBE calculation of crystalline Li2CaY at its relaxed geometry, from Alexandria.

Geometry as extended XYZ:
```
4
Lattice="-4.9098 3.7350 0.0725 -6.1160 0.4536 0.6710 -1.1027 1.3890 5.3935" Properties=species:S:1:pos:R:3 pbc="T T T"
Li -11.8090 5.4423 6.0392
Y -6.2346 2.8038 2.8078
Ca -8.9280 4.1685 4.8615
Li -3.3496 1.5293 1.6340
```

2 | The following is a PBE calculation of crystalline Li2CaY at its relaxed geometry, from Alexandria.

Geometry as extended XYZ:
```
8
Lattice="8.2829 0.0000 0.0000 0.0000 8.2829 0.0000 4.1415 4.1415 3.3602" Properties=species:S:1:pos:R:3 pbc="T T T"
Li 2.0569 6.2122 0.8401
Li 10.3537 10.3675 2.5202
Y 8.2829 4.1415 1.6801
Ca 4.1415 4.1415 0.0000
Li 6.2260 2.0707 0.8401
Ca 4.1415 8.2829 1.6801
Li 6.2122 6.1984 2.5202
Y 0.0000 0.0000 0.0000
```

3 | The following is a PBE calculation of crystalline Li2CaY at its relaxed geometry, from Alexandria.

Geometry as extended XYZ:
```
4
Lattice="-3.1443 2.9816 3.2313 -2.1989 4.5803 -1.8449 -5.3220 0.2695 -0.9063" Properties=species:S:1:pos:R:3 pbc="T T T"
Ca 0.0000 0.0000 0.0000
Li -7.9988 5.8735 0.3600
Y -5.3326 3.9157 0.2400
Li -2.6663 1.9578 0.1200
```

4 | The following is a PBE calculation of crystalline Li2CaY at its relaxed geometry, from Alexandria.

Geometry as extended XYZ:
```
4
Lattice="5.7357 0.0025 -0.0262 4.7228 3.2547 -0.0262 0.7664 0.2387 6.4562" Properties=species:S:1:pos:R:3 pbc="T T T"
Y 2.8062 0.8740 1.6009
Ca 8.4187 2.6220 4.8028
Li 10.4389 3.2511 0.1080
Li 5.6321 1.7541 3.0413
```

Energy above the most stable structure, in kJ/mol of atoms: 1 0.0; 2 21.7; 3 0.6; 4 7.9

1 | The following is a PBE calculation of crystalline Li2CaY at its relaxed geometry, from Alexandria.

Geometry as extended XYZ:
```
4
Lattice="-3.1947 -1.3344 -1.3393 0.4266 -3.0707 2.0419 -4.0561 3.5310 6.1574" Properties=species:S:1:pos:R:3 pbc="T T T"
Li -0.2178 0.1896 0.3306
Li -2.2392 -1.4581 1.6495
Ca -4.5504 0.5539 5.1580
Y -1.8448 1.6060 2.8006
```

2 | The following is a PBE calculation of crystalline Li2CaY at its relaxed geometry, from Alexandria.

Geometry as extended XYZ:
```
4
Lattice="8.5953 -0.0014 -0.0033 -3.4982 4.2275 0.0189 1.5989 1.3181 3.0841" Properties=species:S:1:pos:R:3 pbc="T T T"
Ca 2.5486 2.1130 0.0078
Y -0.9496 2.7728 1.5515
Li 5.0971 0.6583 1.5404
Li 0.0000 0.0000 0.0000
```

Energy above the most stable structure, in kJ/mol of atoms: 1 0.0; 2 2.9

1 | The following is a PBE calculation of crystalline Li2CaY at its relaxed geometry, from Alexandria.

Geometry as extended XYZ:
```
4
Lattice="-2.2876 -0.3817 -4.9328 -3.3392 -4.1542 -1.1416 -5.3447 0.8853 -0.6015" Properties=species:S:1:pos:R:3 pbc="T T T"
Li 0.0000 0.0000 0.0000
Li -2.7429 -0.9127 -1.6690
Ca -5.4857 -1.8253 -3.3379
Y -8.2286 -2.7380 -5.0069
```

2 | The following is a PBE calculation of crystalline Li2CaY at its relaxed geometry, from Alexandria.

Geometry as extended XYZ:
```
4
Lattice="-3.1989 -3.9629 -1.0892 2.6152 -2.2977 0.6790 -0.4500 -1.3726 6.3155" Properties=species:S:1:pos:R:3 pbc="T T T"
Li 0.0475 -1.7979 6.4017
Y 1.0226 -1.6798 3.1083
Ca 0.1075 -4.8869 5.0130
Li -1.5786 -2.4764 1.1950
```

3 | The following is a PBE calculation of crystalline Li2CaY at its relaxed geometry, from Alexandria.

Geometry as extended XYZ:
```
4
Lattice="-1.8599 -1.8136 11.0280 -0.2663 -4.8595 10.2313 1.6631 -2.0135 11.0248" Properties=species:S:1:pos:R:3 pbc="T T T"
Li -0.2325 -4.3606 16.2065
Ca -0.3473 -6.5149 24.2131
Li -0.4622 -8.6692 32.2197
Y -0.1158 -2.1716 8.0710
```

4 | The following is a PBE calculation of crystalline Li2CaY at its relaxed geometry, from Alexandria.

Geometry as extended XYZ:
```
4
Lattice="6.5732 0.0025 0.0047 3.2153 5.7331 -0.0047 -4.1685 -4.1064 2.9947" Properties=species:S:1:pos:R:3 pbc="T T T"
Ca 3.8584 -0.4956 1.4997
Li 1.6760 2.0747 1.4950
Li 0.2948 0.1727 0.0000
Y 4.6850 2.7453 0.0000
```

Energy above the most stable structure, in kJ/mol of atoms: 1 15.6; 2 0.6; 3 4.7; 4 0.0

1 | The following is a PBE calculation of crystalline Li2CaY at its relaxed geometry, from Alexandria.

Geometry as extended XYZ:
```
4
Lattice="3.5603 0.0000 0.0000 1.7802 3.0833 0.0000 1.7802 1.0278 10.9559" Properties=species:S:1:pos:R:3 pbc="T T T"
Ca 3.5603 2.0556 0.0092
Li 1.7802 1.0278 8.1298
Li 1.7802 1.0278 2.8259
Y 3.5603 2.0556 5.4690
```

2 | The following is a PBE calculation of crystalline Li2CaY at its relaxed geometry, from Alexandria.

Geometry as extended XYZ:
```
4
Lattice="-2.8178 -3.1492 -4.7329 2.7505 -5.3060 -2.1302 -1.6563 2.4811 5.5998" Properties=species:S:1:pos:R:3 pbc="T T T"
Ca -2.2539 -2.4479 -1.2823
Y -0.0336 -4.2276 -3.4315
Li 0.0000 0.0000 0.0000
Li 0.5303 -3.5263 0.0190
```

Energy above the most stable structure, in kJ/mol of atoms: 1 0.0; 2 4.2